No. 1
5
Lattice="-2.373 3.738 0.749 -3.502 -1.788 -2.168 -1.507 -1.730 3.860" Properties=species:S:1:pos:R:3 comment="CrMoPd3, relaxed, DFT PBE-GGA" delta_e_f_mev_per_atom=1361.7 crystal_system=cubic e_above_lowest_polymorph_mev_per_atom=0 total_energy_ev_per_atom=-5.8449 pbc="T T T"
Pd -1.186 1.869 0.375
Pd -1.751 -0.894 -1.084
Pd -0.753 -0.865 1.930
Cr 0.000 0.000 0.000
Mo -3.691 0.110 1.221

---

No. 2
12
Lattice="-0.136 2.567 4.425 -5.548 1.808 -1.220 -0.826 -5.118 2.943" Properties=species:S:1:pos:R:3 comment="ErMn2Si3, relaxed, DFT PBE-GGA" e_form_raw_ev_per_atom=-0.514 crystal_system=orthorhombic total_energy_ev_per_atom=-7.0426 pbc="T T T"
Er -4.337 -0.274 4.464
Er -2.173 -0.469 1.685
Mn -1.797 -3.694 2.087
Mn -4.577 0.384 -0.364
Mn -1.865 -2.411 4.300
Mn -4.645 1.668 1.849
Si -0.470 1.734 3.418
Si -3.750 -2.989 3.098
Si -2.760 2.246 3.051
Si -1.047 -0.267 4.561
Si -6.040 -2.477 2.730
Si -5.463 -0.476 1.587

---

No. 3
6
Lattice="3.729 0.000 -0.850 -0.193 3.724 -0.850 -0.011 -0.010 8.561" Properties=species:S:1:pos:R:3 comment="LiTm2S3, relaxed, DFT PBE-GGA" e_form_raw_ev_per_atom=-1.866 crystal_system=tetragonal e_above_lowest_polymorph_mev_per_atom=30 total_energy_ev_per_atom=-5.7389 pbc="T T T"
S 0.937 0.993 4.158
S 2.126 2.244 0.767
S 3.293 3.476 5.893
Tm 2.732 2.883 3.428
Tm 0.331 0.354 1.497
Li 1.524 1.614 6.743